Computed, not measured: a geometry-optimized InAs4Se structure at the GGA-PBE level of DFT.

Properties
crystal system	cubic
energy	-3.836	eV per atom
space-group type	F-43m (216)
total moment	0.702	Bohr magnetons per cell

Cell and atoms, written as POSCAR:
```
InAs4Se
1.0
0.0000 4.2768 4.2768
4.2768 0.0000 4.2768
4.2768 4.2768 0.0000
In As Se
1 4 1
Direct
0.0000 0.0000 0.0000
0.3965 0.3965 0.3965
0.3965 0.3965 0.8104
0.3965 0.8104 0.3965
0.8104 0.3965 0.3965
0.7500 0.7500 0.7500
```